A plane-wave DFT calculation with PBE was carried out for a relaxed RbScGe2 crystal.

## Properties
energy above the lowest structure with this stoichiometry = 0.000 kcal/mol of atoms
energy relative to the elements = 57.1 meV per atom

```
16
Lattice="5.576 0.000 0.000 0.000 5.576 0.000 0.000 0.000 18.399" Properties=species:S:1:pos:R:3 pbc="T T T"
Rb 0.000 0.000 0.000
Rb 0.000 2.788 4.600
Rb 2.788 0.000 13.799
Rb 2.788 2.788 9.199
Sc 0.000 0.000 9.199
Sc 0.000 2.788 13.799
Sc 2.788 0.000 4.600
Sc 2.788 2.788 0.000
Ge 0.099 1.394 11.499
Ge 1.394 2.886 16.099
Ge 1.394 5.477 6.900
Ge 2.689 1.394 2.300
Ge 2.886 4.182 2.300
Ge 4.182 0.099 6.900
Ge 4.182 2.689 16.099
Ge 5.477 4.182 11.499
```


A plane-wave DFT calculation with PBE was carried out for a relaxed RbScGe3 crystal.

## Properties
energy above the lowest structure with this stoichiometry = 0.000 kcal/mol of atoms
energy relative to the elements = 130.2 meV per atom

```
5
Lattice="5.280 0.000 0.000 0.000 5.280 0.000 0.000 0.000 5.280" Properties=species:S:1:pos:R:3 pbc="T T T"
Rb 0.000 0.000 0.000
Sc 2.640 2.640 2.640
Ge 0.000 2.640 2.640
Ge 2.640 0.000 2.640
Ge 2.640 2.640 0.000
```


A plane-wave DFT calculation with PBE was carried out for a relaxed RbScGe2 crystal.

## Properties
energy above the lowest structure with this stoichiometry = 3.523 kcal/mol of atoms
energy relative to the elements = 209.8 meV per atom

```
16
Lattice="7.363 0.000 0.000 0.000 7.363 0.000 0.000 0.000 7.363" Properties=species:S:1:pos:R:3 pbc="T T T"
Rb 0.000 0.000 0.000
Rb 0.000 3.681 3.681
Rb 3.681 0.000 3.681
Rb 3.681 3.681 0.000
Sc 0.000 0.000 3.681
Sc 0.000 3.681 0.000
Sc 3.681 0.000 0.000
Sc 3.681 3.681 3.681
Ge 1.841 1.841 1.841
Ge 1.841 1.841 5.522
Ge 1.841 5.522 1.841
Ge 1.841 5.522 5.522
Ge 5.522 1.841 1.841
Ge 5.522 1.841 5.522
Ge 5.522 5.522 1.841
Ge 5.522 5.522 5.522
```


A plane-wave DFT calculation with PBE was carried out for a relaxed Rb2ScGe crystal.

## Properties
energy relative to the elements = 267.6 meV per atom

```
16
Lattice="13.842 0.000 0.000 0.000 13.842 0.000 0.000 0.000 5.200" Properties=species:S:1:pos:R:3 pbc="T T T"
Rb 0.847 3.460 0.650
Rb 3.460 7.768 1.950
Rb 3.460 12.995 4.550
Rb 6.074 3.460 3.250
Rb 7.768 10.381 3.250
Rb 10.381 0.847 4.550
Rb 10.381 6.074 1.950
Rb 12.995 10.381 0.650
Sc 0.000 0.000 2.600
Sc 0.000 6.921 3.900
Sc 6.921 0.000 1.300
Sc 6.921 6.921 0.000
Ge 0.000 0.000 0.000
Ge 0.000 6.921 1.300
Ge 6.921 0.000 3.900
Ge 6.921 6.921 2.600
```


A plane-wave DFT calculation with PBE was carried out for a relaxed RbScGe3 crystal.

## Properties
energy above the lowest structure with this stoichiometry = 31.983 kcal/mol of atoms
energy relative to the elements = 1517.1 meV per atom

```
5
Lattice="5.387 0.000 0.000 0.000 5.387 0.000 0.000 0.000 5.387" Properties=species:S:1:pos:R:3 pbc="T T T"
Rb 0.000 0.000 0.000
Sc 2.693 2.693 2.693
Ge 0.000 0.000 2.693
Ge 0.000 2.693 0.000
Ge 2.693 0.000 0.000
```


A plane-wave DFT calculation with PBE was carried out for a relaxed RbScGe2Se crystal.

## Properties
raw formation energy = 0.595 eV per atom

```
5
Lattice="5.279 0.000 0.000 0.000 5.279 0.000 0.000 0.000 5.744" Properties=species:S:1:pos:R:3 pbc="T T T"
Rb 0.000 0.000 0.000
Sc 2.640 2.640 0.000
Ge 0.000 2.640 2.872
Ge 2.640 0.000 2.872
Se 0.000 0.000 2.872
```


A plane-wave DFT calculation with PBE was carried out for a relaxed Rb3Sc3GeSe8 crystal.

## Properties
raw formation energy = -1.287 eV per atom

```
15
Lattice="3.943 2.276 8.156 -3.943 2.276 8.156 0.000 -4.553 8.156" Properties=species:S:1:pos:R:3 pbc="T T T"
Rb -1.971 -1.138 8.156
Rb -1.971 1.138 16.313
Rb 0.000 2.276 8.156
Sc -3.943 0.000 12.235
Sc -1.971 1.138 4.078
Sc 1.971 1.138 4.078
Ge 0.000 0.000 12.235
Se 0.000 0.000 5.597
Se -1.921 -1.109 13.708
Se 0.000 -2.218 10.762
Se -1.921 1.109 10.762
Se 1.921 -1.109 13.708
Se 0.000 2.218 13.708
Se 1.921 1.109 10.762
Se 0.000 0.000 18.872
```


A plane-wave DFT calculation with PBE was carried out for a relaxed Rb3Sc3GeTe8 crystal.

## Properties
raw formation energy = -0.961 eV per atom

```
15
Lattice="7.324 -4.216 0.000 7.324 4.216 0.000 -4.908 0.000 8.776" Properties=species:S:1:pos:R:3 pbc="T T T"
Rb 0.000 0.000 0.000
Rb 3.662 2.108 0.000
Rb 3.662 -2.108 0.000
Sc 1.208 2.108 4.388
Sc 1.208 -2.108 4.388
Sc 4.870 0.000 4.388
Ge -2.454 0.000 4.388
Te -0.013 0.000 6.015
Te 3.641 2.103 6.017
Te 2.433 0.000 2.704
Te 6.100 2.103 2.759
Te 3.641 -2.103 6.017
Te 7.307 0.000 6.072
Te 6.100 -2.103 2.759
Te 9.753 0.000 2.760
```